DFT (PBEsol) results for a relaxed structure of TcC3.

a b c (Å): 2.9526 3.7927 3.7927
angles (deg): 113.52 105.04 105.04
Last column: nearest neighbours and their distance in Å.
Positions (direct):
Tc  0.5000  0.0000  0.0000  6 C 2.08
C  0.5000  0.5000  0.5000  4 C 2.08, 2 Tc 2.08
C  0.0000  0.5000  0.0000  4 C 2.08, 2 Tc 2.08
C  0.0000  0.0000  0.5000  2 Tc 2.08, 4 C 2.08

The distance to the lowest polymorph of the same formula comes out at 1251 meV/atom. As for the formation energy: 2.270 eV per atom. Its volume is 34.3 Å³ per cell. The total magnetization comes out at 0.00 μB per formula unit.